Run A
# Er2ThRu3

An optimized crystal structure of Er2ThRu3 (GGA-PBE, Alexandria via LeMat-Bulk).

abc: 3.3928 5.5698 13.6808
angles: 90.00 90.00 90.00
Space group Immm (No. 71)
Symmetry-distinct sites (fractional):
Er 0.0000 0.0000 0.1654 (multiplicity 4)
Th 0.0000 0.0000 0.5000 (multiplicity 2)
Ru 0.0000 0.5000 0.1626 (multiplicity 4)
Ru 0.0000 0.5000 0.5000 (multiplicity 2)

Total magnetization   0.000 μB/f.u.
Calculated volume   259 Å³ per cell

Run B
# Er2ThRu3

An optimized crystal structure of Er2ThRu3 (GGA-PBE, Alexandria via LeMat-Bulk).

abc: 4.8517 4.8517 5.9461
angles: 90.00 90.00 120.00
Space group P-3m1 (No. 164)
Symmetry-distinct sites (fractional):
Er 0.3333 0.6667 0.1551 (multiplicity 2)
Th 0.0000 0.0000 0.5000 (multiplicity 1)
Ru 0.0000 0.0000 0.0000 (multiplicity 1)
Ru 0.3333 0.6667 0.6604 (multiplicity 2)

Total magnetization   0.000 μB/f.u.
Calculated volume   121 Å³ per cell

Order from most stable to least stable according to the calculation: run B, run A

Run A
# Er6TlRu

An optimized crystal structure of Er6TlRu (GGA-PBE, Alexandria via LeMat-Bulk).

abc: 5.0111 5.0111 17.2005
angles: 90.00 90.00 90.00
Space group I4/mmm (No. 139)
Symmetry-distinct sites (fractional):
Er 0.0000 0.0000 0.2495 (multiplicity 4)
Er 0.0000 0.5000 0.1034 (multiplicity 8)
Tl 0.0000 0.0000 0.0000 (multiplicity 2)
Ru 0.0000 0.0000 0.5000 (multiplicity 2)

Total magnetization   0.000 μB/f.u.
Calculated volume   432 Å³ per cell

Run B
# Er6TlRu

An optimized crystal structure of Er6TlRu (GGA-PBE, Alexandria via LeMat-Bulk).

abc: 7.9697 10.0727 6.2785
angles: 90.00 105.11 90.00
Space group C2/m (No. 12)
Symmetry-distinct sites (fractional):
Er 0.1114 0.1883 0.2902 (multiplicity 8)
Er 0.2192 0.5000 0.1436 (multiplicity 4)
Tl 0.0000 0.5000 0.5000 (multiplicity 2)
Ru 0.0000 0.0000 0.0000 (multiplicity 2)

Total magnetization   0.009 μB/f.u.
Calculated volume   487 Å³ per cell

Order from most stable to least stable according to the calculation: run A, run B

Run A
# Er8TlRu2

An optimized crystal structure of Er8TlRu2 (GGA-PBE, Alexandria via LeMat-Bulk).

abc: 5.2315 15.8205 6.8874
angles: 90.00 90.00 90.00
Space group Imm2 (No. 44)
Symmetry-distinct sites (fractional):
Er 0.0000 0.0000 0.0000 (multiplicity 2)
Er 0.0000 0.1105 0.4625 (multiplicity 4)
Er 0.0000 0.2878 0.1359 (multiplicity 4)
Er 0.0000 0.3311 0.5954 (multiplicity 4)
Er 0.0000 0.5000 0.2269 (multiplicity 2)
Tl 0.0000 0.5000 0.7960 (multiplicity 2)
Ru 0.0000 0.1713 0.8286 (multiplicity 4)

Total magnetization   0.000 μB/f.u.
Calculated volume   570 Å³ per cell

Run B
# Er8TlRu2

An optimized crystal structure of Er8TlRu2 (GGA-PBE, Alexandria via LeMat-Bulk).

abc: 8.6859 13.0342 5.4093
angles: 90.00 103.77 90.00
Space group C2/m (No. 12)
Symmetry-distinct sites (fractional):
Er 0.0000 0.2473 0.0000 (multiplicity 4)
Er 0.1149 0.5000 0.8003 (multiplicity 4)
Er 0.1983 0.1332 0.5794 (multiplicity 8)
Tl 0.0000 0.0000 0.0000 (multiplicity 2)
Ru 0.0000 0.3137 0.5000 (multiplicity 4)

Total magnetization   0.000 μB/f.u.
Calculated volume   595 Å³ per cell

Order from most stable to least stable according to the calculation: run B, run A

Run A
# Er2TlRu

An optimized crystal structure of Er2TlRu (GGA-PBE, Alexandria via LeMat-Bulk).

abc: 3.5617 3.5617 27.0017
angles: 90.00 90.00 120.00
Space group R-3m (No. 166, hexagonal axes)
Symmetry-distinct sites (fractional):
Er 0.0000 0.0000 0.2357 (multiplicity 6)
Tl 0.0000 0.0000 0.0000 (multiplicity 3)
Ru 0.0000 0.0000 0.5000 (multiplicity 3)

Total magnetization   0.000 μB/f.u.
Calculated volume   297 Å³ per cell

Run B
# Er2TlRu

An optimized crystal structure of Er2TlRu (GGA-PBE, Alexandria via LeMat-Bulk).

abc: 4.9978 4.9978 3.6269
angles: 90.00 90.00 90.00
Space group P4/mmm (No. 123)
Symmetry-distinct sites (fractional):
Er 0.0000 0.5000 0.0000 (multiplicity 2)
Tl 0.0000 0.0000 0.5000 (multiplicity 1)
Ru 0.5000 0.5000 0.5000 (multiplicity 1)

Total magnetization   0.000 μB/f.u.
Calculated volume   91 Å³ per cell

Order from most stable to least stable according to the calculation: run B, run A

Run A
# Er4TlRu

An optimized crystal structure of Er4TlRu (GGA-PBE, Alexandria via LeMat-Bulk).

abc: 8.6735 12.8559 6.1325
angles: 90.00 106.95 90.00
Space group C2/c (No. 15)
Symmetry-distinct sites (fractional):
Er 0.1073 0.1678 0.0465 (multiplicity 8)
Er 0.2229 0.4232 0.3941 (multiplicity 8)
Tl 0.0000 0.3747 0.7500 (multiplicity 4)
Ru 0.0000 0.0004 0.2500 (multiplicity 4)

Total magnetization   0.000 μB/f.u.
Calculated volume   654 Å³ per cell

Run B
# Er4TlRu

An optimized crystal structure of Er4TlRu (GGA-PBE, Alexandria via LeMat-Bulk).

abc: 8.0415 6.7857 6.3920
angles: 90.00 94.16 90.00
Space group P2_1/c (No. 14)
Symmetry-distinct sites (fractional):
Er 0.1311 0.1398 0.3613 (multiplicity 4)
Er 0.2896 0.6322 0.3773 (multiplicity 4)
Tl 0.5000 0.0000 0.5000 (multiplicity 2)
Ru 0.0000 0.0000 0.0000 (multiplicity 2)

Total magnetization   0.000 μB/f.u.
Calculated volume   348 Å³ per cell

Order from most stable to least stable according to the calculation: run A, run B

Run A
# Er2TmRu2

An optimized crystal structure of Er2TmRu2 (GGA-PBE, Alexandria via LeMat-Bulk).

abc: 10.1948 6.6595 6.6680
angles: 90.00 90.12 90.00
Space group P2_1/c (No. 14)
Symmetry-distinct sites (fractional):
Er 0.0007 0.2501 0.4704 (multiplicity 4)
Er 0.3335 0.7331 0.4809 (multiplicity 4)
Tm 0.3347 0.2334 0.5177 (multiplicity 4)
Ru 0.1664 0.0008 0.2496 (multiplicity 4)
Ru 0.4971 0.9999 0.2500 (multiplicity 4)

Total magnetization   0.000 μB/f.u.
Calculated volume   453 Å³ per cell

Run B
# Er2TmRu2

An optimized crystal structure of Er2TmRu2 (GGA-PBE, Alexandria via LeMat-Bulk).

abc: 3.3719 20.0804 3.3488
angles: 90.00 90.00 90.00
Space group Cmmm (No. 65)
Symmetry-distinct sites (fractional):
Er 0.0000 0.1651 0.0000 (multiplicity 4)
Tm 0.0000 0.0000 0.0000 (multiplicity 2)
Ru 0.0000 0.4123 0.5000 (multiplicity 4)

Total magnetization   0.000 μB/f.u.
Calculated volume   227 Å³ per cell

Order from most stable to least stable according to the calculation: run B, run A

Run A
# ErTm2Ru3

An optimized crystal structure of ErTm2Ru3 (GGA-PBE, Alexandria via LeMat-Bulk).

abc: 4.7517 4.7517 5.8198
angles: 90.00 90.00 120.00
Space group P-3m1 (No. 164)
Symmetry-distinct sites (fractional):
Er 0.0000 0.0000 0.0000 (multiplicity 1)
Tm 0.3333 0.6667 0.6662 (multiplicity 2)
Ru 0.0000 0.0000 0.5000 (multiplicity 1)
Ru 0.3333 0.6667 0.1674 (multiplicity 2)

Total magnetization   0.000 μB/f.u.
Calculated volume   114 Å³ per cell

Run B
# ErTm2Ru3

An optimized crystal structure of ErTm2Ru3 (GGA-PBE, Alexandria via LeMat-Bulk).

abc: 4.7437 14.2407 3.3700
angles: 90.00 90.00 90.00
Space group Cmmm (No. 65)
Symmetry-distinct sites (fractional):
Er 0.0000 0.0000 0.0000 (multiplicity 2)
Tm 0.0000 0.3331 0.0000 (multiplicity 4)
Ru 0.0000 0.1672 0.5000 (multiplicity 4)
Ru 0.0000 0.5000 0.5000 (multiplicity 2)

Total magnetization   0.000 μB/f.u.
Calculated volume   228 Å³ per cell

Order from most stable to least stable according to the calculation: run B, run A

Run A
# ErTm3Ru3

An optimized crystal structure of ErTm3Ru3 (GGA-PBE, Alexandria via LeMat-Bulk).

abc: 9.4158 9.4158 5.7581
angles: 90.00 90.00 120.00
Space group R3m (No. 160, hexagonal axes)
Symmetry-distinct sites (fractional):
Er 0.0000 0.0000 0.0000 (multiplicity 3)
Tm 0.0568 0.5284 0.1140 (multiplicity 9)
Ru 0.9998 0.4999 0.5858 (multiplicity 9)

Total magnetization   0.000 μB/f.u.
Calculated volume   442 Å³ per cell

Run B
# ErTm3Ru3

An optimized crystal structure of ErTm3Ru3 (GGA-PBE, Alexandria via LeMat-Bulk).

abc: 9.5127 9.5558 6.6651
angles: 90.00 90.07 90.00
Space group C2/m (No. 12)
Symmetry-distinct sites (fractional):
Er 0.2477 0.0000 0.0005 (multiplicity 4)
Tm 0.0000 0.2431 0.0000 (multiplicity 4)
Tm 0.0000 0.2452 0.5000 (multiplicity 4)
Tm 0.2450 0.0000 0.5005 (multiplicity 4)
Ru 0.0000 0.0000 0.2505 (multiplicity 4)
Ru 0.2500 0.2500 0.2505 (multiplicity 8)

Total magnetization   0.000 μB/f.u.
Calculated volume   606 Å³ per cell

Order from most stable to least stable according to the calculation: run A, run B

Run A
# Er3TmRu2

An optimized crystal structure of Er3TmRu2 (GGA-PBE, Alexandria via LeMat-Bulk).

abc: 9.4729 9.4795 6.2874
angles: 90.00 90.00 90.00
Space group Cmcm (No. 63)
Symmetry-distinct sites (fractional):
Er 0.0000 0.0686 0.2500 (multiplicity 4)
Er 0.1818 0.2498 0.7500 (multiplicity 8)
Tm 0.0000 0.4324 0.2500 (multiplicity 4)
Ru 0.2492 0.5000 0.0000 (multiplicity 8)

Total magnetization   0.000 μB/f.u.
Calculated volume   565 Å³ per cell

Run B
# Er3TmRu2

An optimized crystal structure of Er3TmRu2 (GGA-PBE, Alexandria via LeMat-Bulk).

abc: 6.6444 13.3717 6.9495
angles: 90.00 90.00 90.00
Space group Ibam (No. 72)
Symmetry-distinct sites (fractional):
Er 0.0000 0.0000 0.2500 (multiplicity 4)
Er 0.0000 0.2659 0.2500 (multiplicity 8)
Tm 0.0000 0.5000 0.0000 (multiplicity 4)
Ru 0.2203 0.1348 0.0000 (multiplicity 8)

Total magnetization   0.000 μB/f.u.
Calculated volume   617 Å³ per cell

Order from most stable to least stable according to the calculation: run A, run B

Run A
# ErURu

An optimized crystal structure of ErURu (GGA-PBE, Alexandria via LeMat-Bulk).

abc: 3.4695 3.4695 10.7843
angles: 90.00 90.00 90.00
Space group I4mm (No. 107)
Symmetry-distinct sites (fractional):
Er 0.0000 0.0000 0.0000 (multiplicity 2)
U 0.0000 0.0000 0.7007 (multiplicity 2)
Ru 0.0000 0.0000 0.3061 (multiplicity 2)

Total magnetization   0.853 μB/f.u.
Calculated volume   130 Å³ per cell

Run B
# ErURu

An optimized crystal structure of ErURu (GGA-PBE, Alexandria via LeMat-Bulk).

abc: 3.5641 3.5641 6.3384
angles: 90.00 90.00 120.00
Space group P3m1 (No. 156)
Symmetry-distinct sites (fractional):
Er 0.0000 0.0000 0.0000 (multiplicity 1)
U 0.6667 0.3333 0.4210 (multiplicity 1)
Ru 0.3333 0.6667 0.6581 (multiplicity 1)

Total magnetization   0.536 μB/f.u.
Calculated volume   70 Å³ per cell

Order from most stable to least stable according to the calculation: run A, run B

Run A
# ErVRu

An optimized crystal structure of ErVRu (GGA-PBE, Alexandria via LeMat-Bulk).

abc: 2.8874 2.8874 14.1853
angles: 90.00 90.00 90.00
Space group I4mm (No. 107)
Symmetry-distinct sites (fractional):
Er 0.0000 0.0000 0.0000 (multiplicity 2)
V 0.0000 0.0000 0.3414 (multiplicity 2)
Ru 0.0000 0.0000 0.1917 (multiplicity 2)

Total magnetization   0.466 μB/f.u.
Calculated volume   118 Å³ per cell

Run B
# ErVRu

An optimized crystal structure of ErVRu (GGA-PBE, Alexandria via LeMat-Bulk).

abc: 3.9968 3.9968 4.4734
angles: 90.00 90.00 120.00
Space group P-6m2 (No. 187)
Symmetry-distinct sites (fractional):
Er 0.0000 0.0000 0.0000 (multiplicity 1)
V 0.3333 0.6667 0.5000 (multiplicity 1)
Ru 0.6667 0.3333 0.5000 (multiplicity 1)

Total magnetization   1.113 μB/f.u.
Calculated volume   62 Å³ per cell

Order from most stable to least stable according to the calculation: run B, run A

Run A
# Y2ErRu

An optimized crystal structure of Y2ErRu (GGA-PBE, Alexandria via LeMat-Bulk).

abc: 3.9106 11.8807 9.1288
angles: 90.00 90.00 90.00
Space group Cmcm (No. 63)
Symmetry-distinct sites (fractional):
Y 0.0000 0.1420 0.0670 (multiplicity 8)
Er 0.0000 0.4225 0.2500 (multiplicity 4)
Ru 0.0000 0.2406 0.7500 (multiplicity 4)

Total magnetization   0.000 μB/f.u.
Calculated volume   424 Å³ per cell

Run B
# Y2ErRu

An optimized crystal structure of Y2ErRu (GGA-PBE, Alexandria via LeMat-Bulk).

abc: 3.4935 3.4935 31.9240
angles: 90.00 90.00 120.00
Space group R-3m (No. 166, hexagonal axes)
Symmetry-distinct sites (fractional):
Y 0.0000 0.0000 0.1064 (multiplicity 6)
Er 0.0000 0.0000 0.0000 (multiplicity 3)
Ru 0.0000 0.0000 0.5000 (multiplicity 3)

Total magnetization   0.403 μB/f.u.
Calculated volume   337 Å³ per cell

Order from most stable to least stable according to the calculation: run A, run B